Computed, not measured: crystalline Pu2ThV at its relaxed geometry at the PBE level of DFT.

Unit cell a=3.450 b=3.450 c=7.810 alpha=90.00 beta=90.00 gamma=90.00
Sites, in units of the cell vectors:
1 V 0.500 0.500 0.000
2 Th 0.500 0.500 0.500
3 Pu 0.000 0.000 0.792
4 Pu 0.000 0.000 0.208

DOS at the Fermi energy, states/eV/atom: 3.3445
Energy of formation, eV/f.u.: 1.265
VASP energy, eV per cell: -43.94
SG: P4/mmm, No. 123